Here is TiTl2VO after structural relaxation from the Alexandria database. Energies are from PBE+U.

abc: 5.2774 5.2774 3.6693
angles: 90.00 90.00 90.00
Atoms (fractional coordinates):
Ti: 0.0000 0.0000 0.0000
Tl: 0.0000 0.5000 0.5000
Tl: 0.5000 0.0000 0.5000
V: 0.5000 0.5000 0.0000
O: 0.5000 0.5000 0.5000

Output
VASP energy: -4.88 eV per atom
SG: P4/mmm (123)
Total moment: 1.353 μB per cell